# TlInGa2Cl

An optimized crystal structure of TlInGa2Cl (PBE, Alexandria via LeMat-Bulk).

a = 5.3064 Å, b = 5.3064 Å, c = 5.8842 Å
α = 90.00°, β = 90.00°, γ = 90.00°
With the nearest neighbours (Å) after each atom.
Sites, in units of the cell vectors:
Tl  0.0000  0.0000  0.0000  2 Cl 2.94
In  0.5000  0.5000  0.0000  4 Tl 3.75, 8 Ga 3.96
Ga  0.0000  0.5000  0.5000  2 Cl 2.65
Ga  0.5000  0.0000  0.5000  2 Cl 2.65
Cl  0.0000  0.0000  0.5000  4 Ga 2.65, 2 Tl 2.94

DOS at the Fermi energy: 4.072 states/eV/f.u.
total DFT energy (no corrections): -2.4384 eV/atom
mass density: 4.95 g/cm3